Density functional theory data (PBE) for an optimized crystal structure of Th2HgRu.

It has space group R-3m (No. 166, hexagonal axes), with a = 4.1230 Å, b = 4.1230 Å, c = 28.5551 Å, α = 90.00°, β = 90.00° and γ = 120.00°. The inequivalent atoms are Th at (0.0000, 0.0000, 0.1151), Hg at (0.0000, 0.0000, 0.0000) and Ru at (0.0000, 0.0000, 0.5000).

The calculation puts the formation energy at -0.5 eV per formula unit. For the total energy, the calculation gives -6.23 eV/atom.